Entry 1:
The following is a GGA-PBE calculation of a geometry-optimized BaSb3Au3 structure, from Alexandria.

Cell: 9.023 9.023 9.023 Å, 53.84 53.84 53.84°
Positions (direct):
Ba 0.167 0.167 0.167
Ba 0.833 0.833 0.833
Sb 0.080 0.713 0.394
Sb 0.287 0.606 0.920
Sb 0.394 0.080 0.713
Sb 0.606 0.920 0.287
Sb 0.713 0.394 0.080
Sb 0.920 0.287 0.606
Au 0.045 0.395 0.746
Au 0.254 0.955 0.605
Au 0.395 0.746 0.045
Au 0.605 0.254 0.955
Au 0.746 0.045 0.395
Au 0.955 0.605 0.254

Properties
As for the magnetic moment: 0.000 μB per cell. The uncorrected formation energy comes out at -0.31 eV/atom. The space group is R-3 (148). For the total energy, the calculation gives -52.52 eV/cell.

=====

Entry 2:
The following is a GGA-PBE calculation of a geometry-optimized CaBeSi structure, from Alexandria.

Cell: 4.900 3.795 6.544 Å, 90.00 97.86 90.00°
Positions (direct):
Ca 0.195 0.250 0.298
Ca 0.805 0.750 0.702
Be 0.381 0.750 0.964
Be 0.619 0.250 0.036
Si 0.282 0.250 0.776
Si 0.718 0.750 0.224

Properties
As for the magnetic moment: 0.000 μB per cell. The uncorrected formation energy comes out at -0.26 eV/atom. The space group is P2_1/m (11). For the total energy, the calculation gives -23.84 eV/cell.

=====

Entry 3:
The following is a GGA-PBE calculation of a geometry-optimized SrBeCdP2 structure, from Alexandria.

Cell: 6.772 4.819 7.342 Å, 90.00 102.43 90.00°
Positions (direct):
Sr 0.000 0.244 0.250
Sr 0.000 0.756 0.750
Be 0.500 0.000 0.000
Be 0.500 0.000 0.500
Cd 0.500 0.495 0.750
Cd 0.500 0.505 0.250
P 0.260 0.253 0.951
P 0.260 0.747 0.451
P 0.740 0.253 0.549
P 0.740 0.747 0.049

Properties
The calculated formation energy is -0.49 eV/atom. As for the magnetic moment: 0.000 μB per cell. The space group is P2/c (13). For the total energy, the calculation gives -39.18 eV/cell.

=====

Entry 4:
The following is a GGA-PBE calculation of a geometry-optimized NaIn14Hg structure, from Alexandria.

Cell: 7.352 7.352 7.992 Å, 90.00 90.00 90.00°
Positions (direct):
Na 0.000 0.000 0.000
In 0.000 0.000 0.500
In 0.000 0.500 0.000
In 0.000 0.500 0.500
In 0.254 0.254 0.249
In 0.254 0.254 0.751
In 0.254 0.746 0.249
In 0.254 0.746 0.751
In 0.500 0.000 0.000
In 0.500 0.000 0.500
In 0.500 0.500 0.500
In 0.746 0.254 0.249
In 0.746 0.254 0.751
In 0.746 0.746 0.249
In 0.746 0.746 0.751
Hg 0.500 0.500 0.000

Properties
The calculated formation energy is -0.01 eV/atom. As for the magnetic moment: 0.000 μB per cell. The space group is P4/mmm (123). For the total energy, the calculation gives -40.07 eV/cell.

=====

Entry 5:
The following is a GGA-PBE calculation of a geometry-optimized LaPr2Y4Mg structure, from Alexandria.

Cell: 5.055 5.055 10.340 Å, 90.00 90.00 90.00°
Positions (direct):
La 0.000 0.000 0.000
Pr 0.000 0.000 0.500
Pr 0.500 0.500 0.500
Y 0.000 0.500 0.247
Y 0.000 0.500 0.753
Y 0.500 0.000 0.247
Y 0.500 0.000 0.753
Mg 0.500 0.500 0.000

Properties
The calculated formation energy is 0.03 eV/atom. As for the magnetic moment: 0.239 μB per cell. The space group is P4/mmm (123). For the total energy, the calculation gives -41.68 eV/cell.

=====

Entry 6:
The following is a GGA-PBE calculation of a geometry-optimized Ta3GePb structure, from Alexandria.

Cell: 4.808 4.808 4.808 Å, 90.00 90.00 90.00°
Positions (direct):
Ta 0.000 0.000 0.500
Ta 0.000 0.500 0.000
Ta 0.500 0.000 0.000
Ge 0.000 0.000 0.000
Pb 0.500 0.500 0.500

Properties
The calculated formation energy is 1.08 eV/atom. As for the magnetic moment: 0.000 μB per cell. The space group is Pm-3m (221). For the total energy, the calculation gives -38.48 eV/cell.

=====

Which of these has the highest magnetic moment?
LaPr2Y4Mg

=====

Number 1 is which compound?
BaSb3Au3